A plane-wave DFT calculation with PBE-GGA was carried out for a relaxed TcH2Rh crystal.

V: 9.0 A^3/atom
E above lowest polymorph: 602.8 meV/atom
Space group: No. 225

Geometry as POSCAR:
```
TcH2Rh
1.0
-2.6416 -2.4989 -0.7122
-3.4568 1.1156 -0.7319
-1.3653 -0.3266 -3.4292
H Rh Tc
2 1 1
direct
0.7500 0.7500 0.7500
0.2500 0.2500 0.2500
0.5000 0.5000 0.5000
0.0000 0.0000 0.0000
```

=====

A plane-wave DFT calculation with PBE-GGA was carried out for a relaxed Tc4HRh2 crystal.

V: 13.6 A^3/atom
VASP energy: -57.78 eV for the cell shown
Space group: No. 139

Geometry as POSCAR:
```
Tc4HRh2
1.0
3.9250 0.0000 0.0000
0.0000 3.9250 0.0000
1.9625 1.9625 6.1577
Rh Tc H
2 4 1
direct
0.6476 0.6476 0.7048
0.3524 0.3524 0.2952
0.0000 0.5000 0.0000
0.8442 0.8442 0.3117
0.1558 0.1558 0.6883
0.5000 0.0000 0.0000
0.0000 0.0000 0.0000
```

=====

A plane-wave DFT calculation with PBE-GGA was carried out for a relaxed TcH2Rh crystal.

V: 8.9 A^3/atom
E above lowest polymorph: 17.5 meV/atom
Space group: No. 122

Geometry as POSCAR:
```
TcH2Rh
1.0
-0.5453 -2.8581 2.9440
2.2638 -2.6865 -2.1888
4.2838 -1.4495 2.2960
Tc H Rh
2 4 2
direct
0.2500 0.7500 0.5000
0.5000 0.5000 0.0000
0.6364 0.1250 0.2500
0.8750 0.8864 0.7500
0.3750 0.3636 0.7500
0.1136 0.6250 0.2500
0.0000 0.0000 0.0000
0.7500 0.2500 0.5000
```

=====

A plane-wave DFT calculation with PBE-GGA was carried out for a relaxed Tc2HRh crystal.

V: 11.3 A^3/atom
E above lowest polymorph: 0.0 meV/atom
Space group: No. 160

Geometry as POSCAR:
```
Tc2HRh
1.0
-0.1180 0.2222 2.7856
0.5747 -2.2171 1.6053
6.5746 1.0951 1.5954
H Rh Tc
1 1 2
direct
0.6670 0.6670 0.9990
0.4981 0.4981 0.5058
0.2775 0.2775 0.1674
0.0574 0.0574 0.8278
```

=====

A plane-wave DFT calculation with PBE-GGA was carried out for a relaxed TcH3Rh crystal.

V: 8.0 A^3/atom
E above lowest polymorph: 69.3 meV/atom
Space group: No. 221

Geometry as POSCAR:
```
TcH3Rh
1.0
-0.5213 -3.3645 -0.2505
3.2839 -0.5641 0.7433
-0.7740 -0.1275 3.3226
H Rh Tc
3 1 1
direct
0.0000 0.5000 0.0000
0.0000 0.0000 0.5000
0.5000 0.0000 0.0000
0.5000 0.5000 0.5000
0.0000 0.0000 0.0000
```

=====

A plane-wave DFT calculation with PBE-GGA was carried out for a relaxed TcHRh2 crystal.

V: 12.8 A^3/atom
E above lowest polymorph: 656.3 meV/atom
Space group: No. 225

Geometry as POSCAR:
```
TcHRh2
1.0
0.0000 2.9506 2.9506
2.9506 0.0000 2.9506
2.9506 2.9506 0.0000
Rh Tc H
2 1 1
direct
0.2500 0.2500 0.2500
0.7500 0.7500 0.7500
0.5000 0.5000 0.5000
0.0000 0.0000 0.0000
```

=====

A plane-wave DFT calculation with PBE-GGA was carried out for a relaxed TcHRh2 crystal.

V: 11.3 A^3/atom
E above lowest polymorph: 0.0 meV/atom
Space group: No. 160

Geometry as POSCAR:
```
TcHRh2
1.0
-1.5586 -1.0952 -2.0096
1.1792 -0.8617 -2.3525
0.7378 -6.8281 1.2415
Rh H Tc
2 1 1
direct
0.0613 0.0613 0.8162
0.2717 0.2717 0.1848
0.6666 0.6666 0.0003
0.5004 0.5004 0.4988
```

=====

A plane-wave DFT calculation with PBE-GGA was carried out for a relaxed TcH2Rh2 crystal.

V: 10.1 A^3/atom
E above lowest polymorph: 6.0 meV/atom
Space group: No. 127

Geometry as POSCAR:
```
TcH2Rh2
1.0
-4.9569 -1.5912 3.0052
3.2006 -0.3889 5.0733
-0.5361 2.6999 0.5452
Tc H Rh
2 4 4
direct
0.0000 0.0000 0.0000
0.5000 0.5000 0.0000
0.7858 0.7142 0.0000
0.2142 0.2858 0.0000
0.2858 0.7858 0.0000
0.7142 0.2142 0.0000
0.8491 0.3491 0.5000
0.1509 0.6509 0.5000
0.6509 0.8491 0.5000
0.3491 0.1509 0.5000
```

=====

Which N(E_F) belongs to each record? In order, 3.48, 7.26, 4.53, 2.21, 3.50, 2.11, 4.34, 6.55 states/eV per cell.